Entry from Alexandria: a relaxed structure of Sc2V4O9 (PBE with a Hubbard U).

## Properties
total magnetization: 8.0 μB/f.u.
crystal system: monoclinic
total energy: -125.1 eV per formula unit

Cell lengths 9.0374, 5.2159, 14.1996 Å; angles 90.00, 90.04, 90.00 degrees
Space group C2/c (No. 15)
Unique sites:
Sc (0.0003, 0.9999, 0.1450)
V (0.1667, 0.5000, 0.0172)
V (0.1667, 0.4998, 0.3143)
O (0.0000, 0.3090, 0.2500)
O (0.0159, 0.3561, 0.9178)
O (0.1547, 0.1555, 0.7501)
O (0.1698, 0.2022, 0.4177)
O (0.1861, 0.1537, 0.0821)

Entry from Alexandria: a relaxed structure of ScVO6 (PBE with a Hubbard U).

## Properties
DOS at the Fermi energy: 22.1 states/eV per cell
total magnetization: 4.0 μB/f.u.
crystal system: cubic
total energy: -54.0 eV per formula unit

Cell lengths 7.8988, 7.8988, 7.8988 Å; angles 90.00, 90.00, 90.00 degrees
Space group Fm-3m (No. 225)
Unique sites:
Sc (0.0000, 0.0000, 0.0000)
V (0.0000, 0.0000, 0.5000)
O (0.0000, 0.0000, 0.2644)

Entry from Alexandria: a relaxed structure of Sc2VO6 (PBE with a Hubbard U).

## Properties
DOS at the Fermi energy: 7.7 states/eV per cell
total magnetization: 0.9 μB/f.u.
crystal system: tetragonal
total energy: -72.7 eV per formula unit

Cell lengths 4.7604, 4.7604, 9.3022 Å; angles 90.00, 90.00, 90.00 degrees
Space group P4_2/mnm (No. 136)
Unique sites:
Sc (0.0000, 0.0000, 0.1695)
V (0.0000, 0.0000, 0.5000)
O (0.1896, 0.1896, 0.3504)
O (0.2148, 0.2148, 0.0000)

Entry from Alexandria: a relaxed structure of Sc7V9O24 (PBE with a Hubbard U).

## Properties
total magnetization: 18.0 μB/f.u.
crystal system: triclinic
total energy: -339.0 eV per formula unit

Cell lengths 8.3854, 8.3988, 8.4527 Å; angles 109.80, 109.60, 108.70 degrees
Space group P1 (No. 1)
Unique sites:
Sc (0.0000, 0.0000, 0.0000)
Sc (0.0368, 0.2139, 0.7516)
Sc (0.2483, 0.4642, 0.2878)
Sc (0.4926, 0.9982, 0.4980)
Sc (0.5305, 0.7846, 0.8229)
Sc (0.7473, 0.9619, 0.2876)
Sc (0.8200, 0.5339, 0.7873)
V (0.0336, 0.7155, 0.2550)
V (0.0689, 0.5011, 0.5718)
V (0.2828, 0.7493, 0.0365)
V (0.2837, 0.2480, 0.5353)
V (0.3221, 0.0370, 0.7872)
V (0.5336, 0.2825, 0.3193)
V (0.5708, 0.4971, 0.0754)
V (0.7827, 0.2530, 0.0442)
V (0.7874, 0.7459, 0.5349)
O (0.0120, 0.2608, 0.0002)
O (0.0162, 0.2191, 0.4928)
O (0.0156, 0.4965, 0.3174)
O (0.0560, 0.7932, 0.0533)
O (0.0576, 0.4841, 0.8152)
O (0.0575, 0.9714, 0.7689)
O (0.2270, 0.9786, 0.4951)
O (0.2555, 0.2044, 0.2618)
O (0.2675, 0.7836, 0.7973)
O (0.2907, 0.7127, 0.2677)
O (0.3286, 0.2886, 0.8156)
O (0.3299, 0.5157, 0.5748)
O (0.5095, 0.6981, 0.0266)
O (0.5139, 0.0179, 0.2584)
O (0.5197, 0.5255, 0.3028)
O (0.5493, 0.0176, 0.7669)
O (0.5494, 0.2872, 0.5806)
O (0.5544, 0.2396, 0.0823)
O (0.7379, 0.7398, 0.7550)
O (0.7490, 0.9863, 0.5491)
O (0.7740, 0.4733, 0.9972)
O (0.7931, 0.0257, 0.0829)
O (0.8162, 0.5020, 0.5224)
O (0.8304, 0.7545, 0.3129)

Entry from Alexandria: a relaxed structure of ScV3O (PBE with a Hubbard U).

## Properties
DOS at the Fermi energy: 3.8 states/eV per cell
total magnetization: 3.1 μB/f.u.
crystal system: cubic
total energy: -31.9 eV per formula unit

Cell lengths 4.1630, 4.1630, 4.1630 Å; angles 90.00, 90.00, 90.00 degrees
Space group Pm-3m (No. 221)
Unique sites:
Sc (0.0000, 0.0000, 0.0000)
V (0.0000, 0.5000, 0.5000)
O (0.5000, 0.5000, 0.5000)

Entry from Alexandria: a relaxed structure of Sc3VO6 (PBE with a Hubbard U).

## Properties
DOS at the Fermi energy: 0.0 states/eV per cell
total magnetization: 2.0 μB/f.u.
crystal system: trigonal
total energy: -88.0 eV per formula unit

Cell lengths 8.9000, 8.9000, 10.3752 Å; angles 90.00, 90.00, 120.00 degrees
Space group R-3 (No. 148, hexagonal axes)
Unique sites:
Sc (0.0423, 0.7748, 0.2056)
V (0.0000, 0.0000, 0.0000)
V (0.0000, 0.0000, 0.5000)
O (0.0245, 0.8130, 0.4002)
O (0.0269, 0.8396, 0.8754)

Entry from Alexandria: a relaxed structure of Sc3VO (PBE with a Hubbard U).

## Properties
DOS at the Fermi energy: 3.9 states/eV per cell
total magnetization: 0.0 μB/f.u.
crystal system: cubic
total energy: -26.1 eV per formula unit

Cell lengths 4.8434, 4.8434, 4.8434 Å; angles 90.00, 90.00, 90.00 degrees
Space group Pm-3m (No. 221)
Unique sites:
Sc (0.0000, 0.0000, 0.5000)
V (0.0000, 0.0000, 0.0000)
O (0.5000, 0.5000, 0.5000)

Entry from Alexandria: a relaxed structure of Sc3VO6 (PBE with a Hubbard U).

## Properties
DOS at the Fermi energy: 0.0 states/eV per cell
total magnetization: 2.0 μB/f.u.
crystal system: orthorhombic
total energy: -86.9 eV per formula unit

Cell lengths 8.4097, 10.3228, 5.2693 Å; angles 90.00, 90.00, 90.00 degrees
Space group Cmc2_1 (No. 36)
Unique sites:
Sc (0.0000, 0.1017, 0.0000)
Sc (0.2085, 0.3820, 0.9462)
V (0.0000, 0.3490, 0.4259)
O (0.0000, 0.2770, 0.7595)
O (0.0000, 0.4780, 0.0984)
O (0.1552, 0.2438, 0.2288)
O (0.1610, 0.0177, 0.7263)